1.
The following is a DFT calculation (PBEsol) of TcPdI3 after structural relaxation.

Cell and atoms, written as extended XYZ:
```
5
Lattice="5.3216 0.0000 0.0000 0.0000 5.3216 0.0000 0.0000 0.0000 5.3216" Properties=species:S:1:pos:R:3 pbc="T T T"
I 0.0000 2.6608 0.0000
I 2.6608 0.0000 0.0000
I 0.0000 0.0000 2.6608
Pd 2.6608 2.6608 2.6608
Tc 0.0000 0.0000 0.0000
```

Calculated values
- formation energy (no corrections) (eV per atom) = 0.835
- symmetry = Pm-3m, No. 221



2.
The following is a DFT calculation (PBEsol) of Te2Pd2I after structural relaxation.

Cell and atoms, written as extended XYZ:
```
5
Lattice="-0.4317 1.2215 -3.7527 -0.9811 -3.6898 -1.0882 -6.8262 2.8284 3.8058" Properties=species:S:1:pos:R:3 pbc="T T T"
Te -2.7738 -0.7966 -2.0402
Te -5.4651 1.1567 1.0051
Pd -4.2568 -1.0477 0.1486
Pd -3.9821 1.4079 -1.1836
I 0.0000 0.0000 0.0000
```

Calculated values
- formation energy (no corrections) (eV per atom) = -0.212
- symmetry = I4/mmm, No. 139



3.
The following is a DFT calculation (PBEsol) of Te2PdWI after structural relaxation.

Cell and atoms, written as extended XYZ:
```
5
Lattice="-0.6557 0.1854 5.0887 -1.9937 -4.7305 -0.0846 5.0988 -2.1621 0.7357" Properties=species:S:1:pos:R:3 pbc="T T T"
W 0.0000 0.0000 0.0000
Te -0.9968 -2.3653 -0.0423
Te -0.3278 0.0927 2.5444
Pd 1.2247 -3.3536 2.8700
I 2.5494 -1.0810 0.3679
```

Calculated values
- formation energy (no corrections) (eV per atom) = 0.976
- symmetry = P4/mmm, No. 123



4.
The following is a DFT calculation (PBEsol) of YTe2PdI after structural relaxation.

Cell and atoms, written as extended XYZ:
```
5
Lattice="-0.4440 -1.8200 4.8409 4.2783 -3.0155 -0.7414 3.0722 3.9266 1.7580" Properties=species:S:1:pos:R:3 pbc="T T T"
Te 2.1392 -1.5078 -0.3707
Te 1.5361 1.9633 0.8790
Pd 0.0000 0.0000 0.0000
Y 3.4533 -0.4545 2.9287
I -0.2220 -0.9100 2.4204
```

Calculated values
- formation energy (no corrections) (eV per atom) = -0.319
- symmetry = P4/mmm, No. 123